Crystalline Rb2Np2O5 at its relaxed geometry, computed with PBE.

Structure (CIF):
```
data_Rb2Np2O5
_cell_length_a 4.340
_cell_length_b 4.340
_cell_length_c 9.067
_cell_angle_alpha 90.00
_cell_angle_beta 90.00
_cell_angle_gamma 90.00
_symmetry_space_group_name_H-M 'P 4/m m m'
_symmetry_Int_Tables_number 123
_symmetry_space_group_name_Hall '-P 4 2'
loop_
_atom_site_label
_atom_site_fract_x
_atom_site_fract_y
_atom_site_fract_z
Rb1 0.000 0.000 0.000
Rb2 0.000 0.000 0.500
Np1 0.500 0.500 0.237
O1 0.000 0.500 0.263
O2 0.500 0.500 0.000
```

## Properties
- size of the total moment (μB/f.u.) = 6.0
- formation energy from raw total energies (meV/atom) = -2450